1.
Computed, not measured: a geometry-optimized Ho7Ga2Ir2 structure at the PBE level of DFT.

Structure (CIF):
```
data_Ho7Ga2Ir2
_chemical_formula_sum 'Ho14 Ga4 Ir4'
_cell_length_a 7.933
_cell_length_b 10.717
_cell_length_c 6.938
_cell_angle_alpha 90.00
_cell_angle_beta 90.00
_cell_angle_gamma 90.00
_symmetry_space_group_name_H-M 'C m m m'
_symmetry_Int_Tables_number 65
_symmetry_space_group_name_Hall '-C 2 2'
loop_
_atom_site_label
_atom_site_fract_x
_atom_site_fract_y
_atom_site_fract_z
_atom_site_occupancy
Ho1 0.000 0.000 0.000 1
Ho2 0.000 0.500 0.252 1
Ho3 0.250 0.250 0.258 1
Ga1 0.168 0.000 0.500 1
Ir1 0.000 0.289 0.000 1
```

## Properties
E_form = -0.48 eV/atom
V = 26.81 Å³/atom
Magnetic moment = 0.000 μB per formula unit
VASP energy = -122.2 eV for the cell shown

---

2.
Computed, not measured: a geometry-optimized Ho3Ga3Ir structure at the PBE level of DFT.

Structure (CIF):
```
data_Ho3Ga3Ir
_chemical_formula_sum 'Ho12 Ga12 Ir4'
_cell_length_a 10.761
_cell_length_b 4.150
_cell_length_c 14.434
_cell_angle_alpha 90.00
_cell_angle_beta 108.38
_cell_angle_gamma 90.00
_symmetry_space_group_name_H-M 'C 1 2/m 1'
_symmetry_Int_Tables_number 12
loop_
_symmetry_equiv_pos_as_xyz
'x,y,z'
'-x,-y,-z'
'-x,y,-z'
'x,-y,z'
'x+1/2,y+1/2,z'
'-x+1/2,-y+1/2,-z'
'-x+1/2,y+1/2,-z'
'x+1/2,-y+1/2,z'
loop_
_atom_site_label
_atom_site_fract_x
_atom_site_fract_y
_atom_site_fract_z
_atom_site_occupancy
Ho1 0.027 0.000 0.381 1
Ho2 0.110 0.000 0.923 1
Ho3 0.238 0.000 0.237 1
Ga1 0.024 0.500 0.228 1
Ga2 0.108 0.500 0.075 1
Ga3 0.144 0.500 0.535 1
Ir1 0.239 0.500 0.382 1
```

## Properties
E_form = -0.73 eV/atom
V = 21.85 Å³/atom
Magnetic moment = 0.000 μB per formula unit
VASP energy = -147.1 eV for the cell shown

---

3.
Computed, not measured: a geometry-optimized Ho2Ga5Ir3 structure at the PBE level of DFT.

Structure (CIF):
```
data_Ho2Ga5Ir3
_chemical_formula_sum 'Ho8 Ga20 Ir12'
_cell_length_a 4.288
_cell_length_b 24.488
_cell_length_c 6.843
_cell_angle_alpha 90.00
_cell_angle_beta 90.00
_cell_angle_gamma 90.00
_symmetry_space_group_name_H-M 'C m c 21'
_symmetry_Int_Tables_number 36
loop_
_symmetry_equiv_pos_as_xyz
'x,y,z'
'-x,-y,z+1/2'
'-x,y,z'
'x,-y,z+1/2'
'x+1/2,y+1/2,z'
'-x+1/2,-y+1/2,z+1/2'
'-x+1/2,y+1/2,z'
'x+1/2,-y+1/2,z+1/2'
loop_
_atom_site_label
_atom_site_fract_x
_atom_site_fract_y
_atom_site_fract_z
_atom_site_occupancy
Ho1 0.000 0.021 0.000 1
Ho2 0.000 0.323 0.933 1
Ga1 0.000 0.101 0.634 1
Ga2 0.000 0.206 0.121 1
Ga3 0.000 0.210 0.721 1
Ga4 0.000 0.375 0.487 1
Ga5 0.000 0.448 0.828 1
Ir1 0.000 0.109 0.254 1
Ir2 0.000 0.272 0.418 1
Ir3 0.000 0.450 0.215 1
```

## Properties
E_form = -0.70 eV/atom
V = 17.96 Å³/atom
Magnetic moment = 0.000 μB per formula unit
VASP energy = -231.4 eV for the cell shown